## VNF2 (PBE+U)

Data for a relaxed structure of VNF2.

a b c (Å): 3.855 3.855 3.855
angles (deg): 60.00 60.00 60.00
Element x y z (fractional)
V 0.000 0.000 0.000
N 0.500 0.500 0.500
F 0.250 0.250 0.250
F 0.750 0.750 0.750

Results
Space-group type: Fm-3m
Raw total energy: -5.08 eV per atom


## VNF2 (PBE+U)

Data for a relaxed structure of VNF2.

a b c (Å): 7.599 7.599 7.599
angles (deg): 155.42 155.42 35.03
Element x y z (fractional)
V 0.000 0.000 0.000
V 0.750 0.250 0.500
N 0.250 0.750 0.500
N 0.500 0.500 0.000
F 0.102 0.625 0.977
F 0.375 0.352 0.477
F 0.648 0.125 0.023
F 0.875 0.898 0.523

Results
Space-group type: I-42d
Raw total energy: -5.31 eV per atom


## VNF2 (PBE+U)

Data for a relaxed structure of VNF2.

a b c (Å): 8.224 8.224 8.224
angles (deg): 23.39 23.39 23.39
Element x y z (fractional)
V 0.000 0.000 0.000
N 0.500 0.500 0.500
F 0.372 0.372 0.372
F 0.628 0.628 0.628

Results
Space-group type: R-3m
Raw total energy: -5.50 eV per atom


## VN3F (PBE+U)

Data for a relaxed structure of VN3F.

a b c (Å): 3.834 3.834 3.834
angles (deg): 90.00 90.00 90.00
Element x y z (fractional)
V 0.000 0.000 0.000
N 0.000 0.000 0.500
N 0.000 0.500 0.000
N 0.500 0.000 0.000
F 0.500 0.500 0.500

Results
Space-group type: Pm-3m
Raw total energy: -5.56 eV per atom


## VN3F (PBE+U)

Data for a relaxed structure of VN3F.

a b c (Å): 3.626 3.626 3.626
angles (deg): 90.00 90.00 90.00
Element x y z (fractional)
V 0.000 0.000 0.000
N 0.000 0.500 0.500
N 0.500 0.000 0.500
N 0.500 0.500 0.000
F 0.500 0.500 0.500

Results
Space-group type: Pm-3m
Raw total energy: -4.50 eV per atom


## VN2F4 (PBE+U)

Data for a relaxed structure of VN2F4.

a b c (Å): 3.111 4.998 8.001
angles (deg): 81.66 87.27 88.67
Element x y z (fractional)
V 0.000 0.000 0.000
N 0.492 0.612 0.498
N 0.508 0.388 0.502
F 0.004 0.315 0.867
F 0.480 0.117 0.126
F 0.520 0.883 0.874
F 0.996 0.685 0.133

Results
Space-group type: P-1
Raw total energy: -6.37 eV per atom